Below is a relaxed BaTlGeRh crystal, with properties calculated at the PBE-GGA level.

Values from the calculation:
formation energy from the elements: -0.535 eV per atom
SG: P4/nmm, No. 129
final energy: -4.600 eV per atom

Cell lengths 4.301, 4.301, 12.334 Å; angles 90.00, 90.00, 90.00 degrees
Fractional positions:
Tl 0.750 0.250 0.500
Rh 0.750 0.250 0.000
Rh 0.250 0.750 0.000
Ge 0.750 0.750 0.898
Ba 0.250 0.250 0.768
Ge 0.250 0.250 0.102
Tl 0.250 0.750 0.500
Ba 0.750 0.750 0.232

Below is a relaxed BaZnGeRh crystal, with properties calculated at the PBE-GGA level.

Values from the calculation:
formation energy from the elements: -0.465 eV per atom
SG: P4/nmm, No. 129
final energy: -4.256 eV per atom

Cell lengths 4.158, 4.158, 11.961 Å; angles 90.00, 90.00, 90.00 degrees
Fractional positions:
Zn 0.750 0.250 0.500
Ba 0.250 0.250 0.746
Ba 0.750 0.750 0.254
Rh 0.250 0.750 0.000
Ge 0.250 0.250 0.111
Ge 0.750 0.750 0.889
Rh 0.750 0.250 0.000
Zn 0.250 0.750 0.500

Look up the formation energy from the elements of the first one.
-0.535 eV per atom

Among the records above, which one has the highest formation energy from the elements?
BaZnGeRh

What did the second record say?
Below is a relaxed BaZnGeRh crystal, with properties calculated at the PBE-GGA level.

Values from the calculation:
formation energy from the elements: -0.465 eV per atom
SG: P4/nmm, No. 129
final energy: -4.256 eV per atom

Cell lengths 4.158, 4.158, 11.961 Å; angles 90.00, 90.00, 90.00 degrees
Fractional positions:
Zn 0.750 0.250 0.500
Ba 0.250 0.250 0.746
Ba 0.750 0.750 0.254
Rh 0.250 0.750 0.000
Ge 0.250 0.250 0.111
Ge 0.750 0.750 0.889
Rh 0.750 0.250 0.000
Zn 0.250 0.750 0.500